Entry 1:
First-principles (GGA-PBE) data for DyZr4N6 after structural relaxation, as listed in the Alexandria database.

a b c (Å): 3.218 5.632 16.469
angles (deg): 90.00 90.00 106.60
Fractional coordinates of all 22 atoms:
N (0.229, 0.458, 0.918)
N (0.500, 0.000, 0.000)
N (0.229, 0.458, 0.582)
N (0.035, 0.070, 0.160)
N (0.695, 0.390, 0.750)
N (0.771, 0.542, 0.082)
N (0.771, 0.542, 0.418)
N (0.305, 0.610, 0.250)
N (0.035, 0.070, 0.340)
N (0.965, 0.930, 0.840)
N (0.500, 0.000, 0.500)
N (0.965, 0.930, 0.660)
Dy (0.352, 0.704, 0.750)
Dy (0.648, 0.296, 0.250)
Zr (0.393, 0.786, 0.362)
Zr (0.607, 0.214, 0.638)
Zr (0.131, 0.261, 0.451)
Zr (0.131, 0.261, 0.049)
Zr (0.869, 0.739, 0.549)
Zr (0.607, 0.214, 0.862)
Zr (0.869, 0.739, 0.951)
Zr (0.393, 0.786, 0.138)

Results
E_form (uncorrected) = -17.84 eV per formula unit
magnetic moment = 0.00 μB/f.u.
energy = -9.689 eV/atom
crystal system = orthorhombic

Entry 2:
First-principles (GGA-PBE) data for TbTm2NpAs4 after structural relaxation, as listed in the Alexandria database.

a b c (Å): 4.087 7.079 7.088
angles (deg): 70.66 90.00 90.00
Site moments in Bohr magnetons follow the coordinates.
Fractional coordinates of all 8 atoms:
Tm (0.500, 0.000, 0.500)  0.00
Tm (0.000, 0.000, 0.000)  0.01
As (0.500, 0.247, 0.754)  -0.04
As (0.000, 0.247, 0.249)  -0.06
As (0.500, 0.753, 0.246)  -0.04
As (0.000, 0.753, 0.751)  -0.06
Tb (0.000, 0.500, 0.500)  0.03
Np (0.500, 0.500, 0.000)  3.67

Results
magnetic moment = 3.77 μB/f.u.
calculated formation energy = -29.932 kcal/mol of atoms
energy = -6.937 eV/atom
crystal system = monoclinic

Entry 3:
First-principles (GGA-PBE) data for Ac8GeIr2 after structural relaxation, as listed in the Alexandria database.

a b c (Å): 7.192 8.688 8.688
angles (deg): 57.91 78.06 78.06
Fractional coordinates of all 11 atoms:
Ac (0.202, 0.895, 0.353)
Ac (0.202, 0.353, 0.895)
Ac (0.260, 0.389, 0.389)
Ac (0.798, 0.105, 0.647)
Ac (0.798, 0.647, 0.105)
Ac (0.681, 0.176, 0.176)
Ac (0.319, 0.824, 0.824)
Ac (0.740, 0.611, 0.611)
Ge (0.000, 0.000, 0.000)
Ir (0.995, 0.731, 0.731)
Ir (0.005, 0.269, 0.269)

Results
magnetic moment = 0.00 μB/f.u.
calculated formation energy = -7.396 kcal/mol of atoms
energy = -5.340 eV/atom
crystal system = monoclinic

Entry 4:
First-principles (GGA-PBE) data for La4Cu2Pd5 after structural relaxation, as listed in the Alexandria database.

a b c (Å): 4.010 7.316 8.470
angles (deg): 89.43 90.00 90.00
Fractional coordinates of all 11 atoms:
La (0.500, 0.737, 0.377)
La (0.500, 0.263, 0.623)
La (0.500, 0.236, 0.123)
La (0.500, 0.764, 0.877)
Cu (0.000, 0.081, 0.374)
Cu (0.000, 0.919, 0.626)
Pd (0.000, 0.135, 0.870)
Pd (0.000, 0.865, 0.130)
Pd (0.000, 0.438, 0.338)
Pd (0.000, 0.562, 0.662)
Pd (0.000, 0.500, 0.000)

Results
magnetic moment = 0.00 μB/f.u.
calculated formation energy = -15.883 kcal/mol of atoms
energy = -5.586 eV/atom
crystal system = monoclinic

Entry 5:
First-principles (GGA-PBE) data for KTl2Ag2 after structural relaxation, as listed in the Alexandria database.

a b c (Å): 4.880 4.880 7.110
angles (deg): 69.93 69.93 90.00
Fractional coordinates of all 5 atoms:
Ag (0.610, 0.610, 0.779)
Ag (0.390, 0.390, 0.221)
Tl (0.250, 0.750, 0.500)
Tl (0.750, 0.250, 0.500)
K (0.000, 0.000, 0.000)

Results
magnetic moment = 0.00 μB/f.u.
E above lowest polymorph = 45 meV per atom
calculated formation energy = 0.723 kcal/mol of atoms
energy = -2.275 eV/atom
crystal system = tetragonal

Entry 6:
First-principles (GGA-PBE) data for LiEr4In2 after structural relaxation, as listed in the Alexandria database.

a b c (Å): 6.986 6.565 9.342
angles (deg): 90.00 116.53 90.00
Fractional coordinates of all 14 atoms:
Li (0.221, 0.750, 0.261)
Li (0.779, 0.250, 0.739)
In (0.390, 0.250, 0.459)
In (0.800, 0.750, 0.076)
In (0.200, 0.250, 0.924)
In (0.610, 0.750, 0.541)
Er (0.455, 0.506, 0.781)
Er (0.023, 0.750, 0.471)
Er (0.949, 0.250, 0.135)
Er (0.545, 0.006, 0.219)
Er (0.455, 0.994, 0.781)
Er (0.051, 0.750, 0.865)
Er (0.977, 0.250, 0.529)
Er (0.545, 0.494, 0.219)

Results
magnetic moment = 0.00 μB/f.u.
E above lowest polymorph = 53 meV per atom
calculated formation energy = -3.132 kcal/mol of atoms
energy = -3.799 eV/atom
crystal system = monoclinic

Entry 7:
First-principles (GGA-PBE) data for Ac2AsF after structural relaxation, as listed in the Alexandria database.

a b c (Å): 3.927 5.199 5.199
angles (deg): 90.00 90.00 90.00
Site moments in Bohr magnetons follow the coordinates.
Fractional coordinates of all 4 atoms:
As (0.500, 0.500, 0.500)  0.00
F (0.500, 0.000, 0.000)  0.01
Ac (0.000, 0.500, 0.000)  0.09
Ac (0.000, 0.000, 0.500)  0.09

Results
E_form (uncorrected) = -6.14 eV per formula unit
magnetic moment = 0.45 μB/f.u.
E above lowest polymorph = 373 meV per atom
energy = -5.219 eV/atom
crystal system = tetragonal

Entry 8:
First-principles (GGA-PBE) data for NiP2S6 after structural relaxation, as listed in the Alexandria database.

a b c (Å): 6.954 6.165 6.165
angles (deg): 120.00 90.00 90.00
Fractional coordinates of all 9 atoms:
P (0.047, 0.667, 0.333)
P (0.953, 0.333, 0.667)
Ni (0.000, 0.000, 0.000)
S (0.209, 0.836, 0.164)
S (0.791, 0.164, 0.328)
S (0.791, 0.672, 0.836)
S (0.209, 0.836, 0.672)
S (0.209, 0.328, 0.164)
S (0.791, 0.164, 0.836)

Results
E_form (uncorrected) = 0.74 eV per formula unit
magnetic moment = 0.13 μB/f.u.
E above lowest polymorph = 211 meV per atom
energy = -4.514 eV/atom
crystal system = trigonal

Entry 9:
First-principles (GGA-PBE) data for CeSnHg after structural relaxation, as listed in the Alexandria database.

a b c (Å): 3.735 3.735 6.418
angles (deg): 106.92 106.92 90.00
Site moments in Bohr magnetons follow the coordinates.
Fractional coordinates of all 3 atoms:
Hg (0.327, 0.327, 0.654)  0.00
Ce (0.995, 0.995, 0.989)  1.01
Sn (0.678, 0.678, 0.356)  -0.02

Results
magnetic moment = 1.34 μB/f.u.
E above lowest polymorph = 164 meV per atom
calculated formation energy = -6.735 kcal/mol of atoms
energy = -3.705 eV/atom
crystal system = tetragonal

Entry 10:
First-principles (GGA-PBE) data for NaTlS2 after structural relaxation, as listed in the Alexandria database.

a b c (Å): 5.521 5.695 7.576
angles (deg): 89.99 112.83 90.02
Fractional coordinates of all 8 atoms:
S (0.943, 0.312, 0.622)
S (0.703, 0.086, 0.042)
S (0.031, 0.586, 0.470)
S (0.792, 0.811, 0.890)
Tl (0.592, 0.922, 0.383)
Tl (0.142, 0.422, 0.129)
Na (0.514, 0.398, 0.722)
Na (0.221, 0.898, 0.789)

Results
E_form (uncorrected) = -2.03 eV per formula unit
magnetic moment = 0.00 μB/f.u.
energy = -3.492 eV/atom
crystal system = monoclinic